[1]
A relaxed structure of YCdPt2, computed with PBE.

Lattice parameters (Å, degrees): 4.3172 4.3172 9.7712 77.24 77.24 90.00
Fractional coordinates of all 8 atoms:
Y 0.5000 0.5000 0.0000
Y 0.2500 0.7500 0.5000
Pt 0.6445 0.1250 0.2500
Pt 0.1055 0.6250 0.2500
Pt 0.3750 0.3555 0.7500
Pt 0.8750 0.8945 0.7500
Cd 0.0000 0.0000 0.0000
Cd 0.7500 0.2500 0.5000

Calculated values
SG: I-42d (122)
Calculated density (g/cm3): 11.35
Energy of formation (meV per atom): -307
Total magnetization (μB/f.u.): 0.00

[2]
A relaxed structure of YCdPt2, computed with PBE.

Lattice parameters (Å, degrees): 3.7411 3.8121 5.6855 90.00 90.00 90.00
Fractional coordinates of all 4 atoms:
Cd 0.5000 0.5000 0.7910
Pt 0.0000 0.0000 0.9693
Pt 0.5000 0.5000 0.2732
Y 0.0000 0.0000 0.4665

Calculated values
SG: Pmm2 (25)
Calculated density (g/cm3): 12.11
Energy of formation (meV per atom): -669
Total magnetization (μB/f.u.): 0.00

[3]
A relaxed structure of Y3CdPt, computed with PBE.

Lattice parameters (Å, degrees): 5.4360 5.4360 5.4360 90.00 90.00 90.00
Fractional coordinates of all 5 atoms:
Y 0.0000 0.5000 0.0000
Y 0.0000 0.0000 0.5000
Y 0.5000 0.0000 0.0000
Pt 0.0000 0.0000 0.0000
Cd 0.5000 0.5000 0.5000

Calculated values
SG: Pm-3m (221)
Calculated density (g/cm3): 5.94
Energy above the most stable polymorph in this dataset (meV/atom): 262
Energy of formation (meV per atom): -365
Total magnetization (μB/f.u.): 0.00

[4]
A relaxed structure of Y4Cd3Pt, computed with PBE.

Lattice parameters (Å, degrees): 3.6609 3.6609 14.9142 90.00 90.00 90.00
Fractional coordinates of all 8 atoms:
Y 0.0000 0.0000 0.8905
Y 0.0000 0.0000 0.1095
Y 0.0000 0.0000 0.3698
Y 0.0000 0.0000 0.6302
Pt 0.5000 0.5000 0.0000
Cd 0.5000 0.5000 0.2434
Cd 0.5000 0.5000 0.5000
Cd 0.5000 0.5000 0.7566

Calculated values
SG: P4/mmm (123)
Calculated density (g/cm3): 7.38
Energy of formation (meV per atom): -569
Total magnetization (μB/f.u.): 0.00

[5]
A relaxed structure of YCd4Pt2, computed with PBE.

Lattice parameters (Å, degrees): 3.9933 8.7467 8.7467 90.00 90.00 90.00
Fractional coordinates of all 14 atoms:
Y 0.5000 0.0000 0.0000
Y 0.0000 0.5000 0.5000
Cd 0.0000 0.0985 0.3385
Cd 0.0000 0.9015 0.6615
Cd 0.5000 0.1615 0.5985
Cd 0.5000 0.8385 0.4015
Cd 0.5000 0.4015 0.8385
Cd 0.5000 0.5985 0.1615
Cd 0.0000 0.3385 0.0985
Cd 0.0000 0.6615 0.9015
Pt 0.0000 0.1710 0.8290
Pt 0.0000 0.8290 0.1710
Pt 0.5000 0.6710 0.6710
Pt 0.5000 0.3290 0.3290

Calculated values
SG: P4_2/mnm (136)
Calculated density (g/cm3): 10.10
Energy of formation (meV per atom): -491
Total magnetization (μB/f.u.): 0.00

[6]
A relaxed structure of YCdPt, computed with PBE.

Lattice parameters (Å, degrees): 4.6936 4.6936 3.4885 90.00 90.00 120.00
Fractional coordinates of all 3 atoms:
Cd 0.0000 0.0000 0.1674
Pt 0.6667 0.3333 0.1656
Y 0.3333 0.6667 0.6670

Calculated values
SG: P3m1 (156)
Calculated density (g/cm3): 9.89
Energy of formation (meV per atom): -683
Total magnetization (μB/f.u.): 0.00

[7]
A relaxed structure of Y6Cd2Pt, computed with PBE.

Lattice parameters (Å, degrees): 5.1068 9.8691 9.8655 90.00 90.00 90.00
Fractional coordinates of all 18 atoms:
Y 0.0000 0.0336 0.1968
Y 0.0000 0.6968 0.5333
Y 0.0000 0.6144 0.8854
Y 0.5000 0.1144 0.6146
Y 0.5000 0.1968 0.9667
Y 0.5000 0.5336 0.3032
Y 0.0000 0.9664 0.8032
Y 0.0000 0.3032 0.4667
Y 0.0000 0.3856 0.1146
Y 0.5000 0.8856 0.3854
Y 0.5000 0.8032 0.0333
Y 0.5000 0.4664 0.6968
Cd 0.0000 0.2855 0.7859
Cd 0.5000 0.7855 0.7141
Cd 0.5000 0.2145 0.2859
Cd 0.0000 0.7145 0.2141
Pt 0.5000 0.5000 0.0000
Pt 0.0000 0.0000 0.5000

Calculated values
SG: P4_2/mnm (136)
Calculated density (g/cm3): 6.37
Energy above the most stable polymorph in this dataset (meV/atom): 12
Energy of formation (meV per atom): -413
Total magnetization (μB/f.u.): 0.00

[8]
A relaxed structure of YCdPt2, computed with PBE.

Lattice parameters (Å, degrees): 5.4123 5.4123 4.0963 67.77 67.77 44.43
Fractional coordinates of all 4 atoms:
Y 0.4999 0.4999 0.5000
Pt 0.0000 0.0000 0.0000
Pt 0.7499 0.7499 0.7501
Cd 0.2501 0.2501 0.2499

Calculated values
SG: I-4m2 (119)
Calculated density (g/cm3): 12.81
Energy of formation (meV per atom): -799
Total magnetization (μB/f.u.): 0.00

[9]
A relaxed structure of Y2CdPt3, computed with PBE.

Lattice parameters (Å, degrees): 3.8603 7.4732 17.4078 90.00 90.00 90.00
Fractional coordinates of all 24 atoms:
Y 0.2500 0.6509 0.5700
Y 0.7500 0.8491 0.0700
Y 0.2500 0.1509 0.9300
Y 0.7500 0.3491 0.4300
Y 0.2500 0.5925 0.7849
Y 0.7500 0.9075 0.2849
Y 0.2500 0.0925 0.7151
Y 0.7500 0.4075 0.2151
Cd 0.2500 0.9907 0.4364
Cd 0.7500 0.5093 0.9364
Cd 0.2500 0.4907 0.0636
Cd 0.7500 0.0093 0.5636
Pt 0.2500 0.7727 0.9446
Pt 0.7500 0.7273 0.4446
Pt 0.2500 0.2727 0.5554
Pt 0.7500 0.2273 0.0554
Pt 0.2500 0.0869 0.1588
Pt 0.7500 0.4131 0.6588
Pt 0.2500 0.5869 0.3412
Pt 0.7500 0.9131 0.8412
Pt 0.2500 0.7113 0.1896
Pt 0.7500 0.7887 0.6896
Pt 0.2500 0.2113 0.3104
Pt 0.7500 0.2887 0.8104

Calculated values
SG: Pnma (62)
Calculated density (g/cm3): 11.58
Energy of formation (meV per atom): -962
Total magnetization (μB/f.u.): 0.00

[10]
A relaxed structure of Y3CdPt, computed with PBE.

Lattice parameters (Å, degrees): 5.8043 6.6552 8.9014 111.90 77.86 124.35
Fractional coordinates of all 10 atoms:
Y 0.5000 0.7977 0.0952
Y 0.1246 0.4192 0.7150
Y 0.8756 0.7966 0.7148
Y 0.1244 0.2034 0.2852
Y 0.5000 0.2023 0.9048
Y 0.8754 0.5808 0.2850
Cd 0.5063 0.2085 0.5007
Cd 0.4937 0.7915 0.4993
Pt 0.0001 0.7501 0.9999
Pt 0.9999 0.2499 0.0001

Calculated values
SG: P-1 (2)
Calculated density (g/cm3): 7.24
Energy above the most stable polymorph in this dataset (meV/atom): 0
Energy of formation (meV per atom): -627
Total magnetization (μB/f.u.): 0.00

[11]
A relaxed structure of YCd11Pt, computed with PBE.

Lattice parameters (Å, degrees): 5.7660 7.5823 7.6400 81.68 67.83 67.46
Fractional coordinates of all 13 atoms:
Y 0.0000 0.0000 0.0000
Cd 0.2974 0.2129 0.2077
Cd 0.7026 0.7871 0.7923
Cd 0.4950 0.7871 0.2077
Cd 0.5050 0.2129 0.7923
Cd 0.3612 0.6447 0.6588
Cd 0.6388 0.3553 0.3412
Cd 0.9800 0.3553 0.6588
Cd 0.0200 0.6447 0.3412
Cd 0.0000 0.5000 0.0000
Cd 0.5000 0.0000 0.5000
Cd 0.0000 0.0000 0.5000
Pt 0.5000 0.5000 0.0000

Calculated values
SG: C2/m (12)
Calculated density (g/cm3): 8.84
Energy of formation (meV per atom): -146
Total magnetization (μB/f.u.): 0.00

[12]
A relaxed structure of YCdPt2, computed with PBE.

Lattice parameters (Å, degrees): 3.5462 3.6112 7.0796 59.33 90.00 90.00
Fractional coordinates of all 4 atoms:
Y 0.5000 0.2500 0.2500
Pt 0.0000 0.0108 0.9892
Pt 0.0000 0.4892 0.5108
Cd 0.5000 0.7500 0.7500

Calculated values
SG: Pmmm (47)
Calculated density (g/cm3): 12.59
Energy of formation (meV per atom): -840
Total magnetization (μB/f.u.): 0.00